! SrCd2Ni, optimized geometry, DFT GGA-PBEsol; values from VASP
&SYSTEM
  ibrav = 0, nat = 4, ntyp = 3
/
ATOMIC_SPECIES
Ni 58.69 Ni.upf
Sr 87.62 Sr.upf
Cd 112.41 Cd.upf
CELL_PARAMETERS angstrom
-1.3583 -2.9071 -3.2368
-2.4204 -3.6972 1.1275
-5.7854 0.5800 -1.3020
ATOMIC_POSITIONS crystal
Ni 0.5657 0.5664 0.3022
Sr 0.7545 0.7537 0.7373
Cd 0.2251 0.2254 0.3244
Cd 0.9547 0.9545 0.1361
! Energy relative to the elements: -108 meV/atom
! Space group: R3m
! Spin magnetization: 0.0000 μB/atom
! Final energy: -2.71 eV per atom

! TaCdNi2, optimized geometry, DFT GGA-PBEsol; values from VASP
&SYSTEM
  ibrav = 0, nat = 4, ntyp = 3
/
ATOMIC_SPECIES
Ni 58.69 Ni.upf
Ta 180.95 Ta.upf
Cd 112.41 Cd.upf
CELL_PARAMETERS angstrom
2.8089 0.0000 0.0000
0.0000 2.8089 0.0000
0.0000 0.0000 7.1949
ATOMIC_POSITIONS crystal
Ni 0.0000 0.0000 0.2406
Ta 0.5000 0.5000 0.0000
Cd 0.5000 0.5000 0.5000
Ni 0.0000 0.0000 0.7594
! Energy relative to the elements: -105 meV/atom
! Space group: P4/mmm
! Spin magnetization: 0.0002 μB/atom
! Final energy: -6.62 eV per atom

! TaCdNi2, optimized geometry, DFT GGA-PBEsol; values from VASP
&SYSTEM
  ibrav = 0, nat = 4, ntyp = 3
/
ATOMIC_SPECIES
Ta 180.95 Ta.upf
Cd 112.41 Cd.upf
Ni 58.69 Ni.upf
CELL_PARAMETERS angstrom
-0.5922 3.6816 0.4470
-2.0225 0.0589 -3.1639
-2.0134 -2.6604 3.4665
ATOMIC_POSITIONS crystal
Ta 0.5000 0.5000 0.0000
Cd 0.2500 0.7500 0.5000
Ni 0.0000 0.0000 0.0000
Ni 0.7500 0.2500 0.5000
! Energy relative to the elements: 129 meV/atom
! Space group: I-4m2
! Spin magnetization: 0.0000 μB/atom
! Final energy: -6.39 eV per atom

! TaCd3Ni, optimized geometry, DFT GGA-PBEsol; values from VASP
&SYSTEM
  ibrav = 0, nat = 5, ntyp = 3
/
ATOMIC_SPECIES
Cd 112.41 Cd.upf
Ni 58.69 Ni.upf
Ta 180.95 Ta.upf
CELL_PARAMETERS angstrom
4.6517 0.0000 0.0000
0.0000 4.6517 0.0000
0.0000 0.0000 4.6517
ATOMIC_POSITIONS crystal
Cd 0.0000 0.5000 0.0000
Cd 0.5000 0.0000 0.0000
Ni 0.0000 0.0000 0.0000
Cd 0.0000 0.0000 0.5000
Ta 0.5000 0.5000 0.5000
! Energy relative to the elements: 977 meV/atom
! Space group: Pm-3m
! Spin magnetization: 0.0025 μB/atom
! Final energy: -3.48 eV per atom

! Tb2CdNi2, optimized geometry, DFT GGA-PBEsol; values from VASP
&SYSTEM
  ibrav = 0, nat = 5, ntyp = 3
/
ATOMIC_SPECIES
Ni 58.69 Ni.upf
Tb 158.93 Tb.upf
Cd 112.41 Cd.upf
CELL_PARAMETERS angstrom
-0.1594 3.6217 -0.1372
-1.8064 0.0486 3.3816
5.2860 0.4217 4.9914
ATOMIC_POSITIONS crystal
Ni 0.0000 0.1997 0.6005
Ni 0.0000 0.8003 0.3995
Tb 0.5000 0.3625 0.2750
Tb 0.5000 0.6375 0.7250
Cd 0.0000 0.0000 0.0000
! Energy relative to the elements: -447 meV/atom
! Space group: Cmmm
! Spin magnetization: 0.0001 μB/atom
! Final energy: -5.15 eV per atom

! TbCdNi4, optimized geometry, DFT GGA-PBEsol; values from VASP
&SYSTEM
  ibrav = 0, nat = 6, ntyp = 3
/
ATOMIC_SPECIES
Ni 58.69 Ni.upf
Cd 112.41 Cd.upf
Tb 158.93 Tb.upf
CELL_PARAMETERS angstrom
-3.9499 2.0666 -2.0194
-4.4587 -1.7555 0.9945
-3.0899 2.5951 2.7693
ATOMIC_POSITIONS crystal
Ni 0.3741 0.8777 0.3741
Cd 0.0000 0.0000 0.0000
Ni 0.3741 0.3741 0.8777
Ni 0.8777 0.3741 0.3741
Tb 0.7500 0.7500 0.7500
Ni 0.3741 0.3741 0.3741
! Energy relative to the elements: -369 meV/atom
! Space group: F-43m
! Spin magnetization: 0.0005 μB/atom
! Final energy: -5.51 eV per atom

! Tb2CdNi2, optimized geometry, DFT GGA-PBEsol; values from VASP
&SYSTEM
  ibrav = 0, nat = 10, ntyp = 3
/
ATOMIC_SPECIES
Ni 58.69 Ni.upf
Cd 112.41 Cd.upf
Tb 158.93 Tb.upf
CELL_PARAMETERS angstrom
-2.2008 2.7904 0.6819
-5.5160 -3.6111 -3.0256
-1.6526 -2.8796 6.4496
ATOMIC_POSITIONS crystal
Ni 0.0000 0.3815 0.1185
Cd 0.0000 0.5000 0.5000
Ni 0.0000 0.6185 0.8815
Tb 0.5000 0.8241 0.6759
Tb 0.5000 0.1759 0.3241
Ni 0.0000 0.8815 0.3815
Cd 0.0000 0.0000 0.0000
Tb 0.5000 0.6759 0.1759
Ni 0.0000 0.1185 0.6185
Tb 0.5000 0.3241 0.8241
! Energy relative to the elements: -436 meV/atom
! Space group: P4/mbm
! Spin magnetization: 0.0000 μB/atom
! Final energy: -5.14 eV per atom

! CdTc2Ni, optimized geometry, DFT GGA-PBEsol; values from VASP
&SYSTEM
  ibrav = 0, nat = 4, ntyp = 3
/
ATOMIC_SPECIES
Tc 98.00 Tc.upf
Ni 58.69 Ni.upf
Cd 112.41 Cd.upf
CELL_PARAMETERS angstrom
-0.5588 -0.2716 -2.6919
-2.3698 -1.2770 0.6208
-3.5425 6.6076 0.0686
ATOMIC_POSITIONS crystal
Tc 0.5000 0.5000 0.2215
Ni 0.5000 0.5000 0.7684
Tc 0.0000 0.0000 0.9947
Cd 0.0000 0.0000 0.5154
! Energy relative to the elements: 167 meV/atom
! Space group: P4mm
! Spin magnetization: 0.0004 μB/atom
! Final energy: -7.30 eV per atom

! CdTc3Ni, optimized geometry, DFT GGA-PBEsol; values from VASP
&SYSTEM
  ibrav = 0, nat = 5, ntyp = 3
/
ATOMIC_SPECIES
Tc 98.00 Tc.upf
Cd 112.41 Cd.upf
Ni 58.69 Ni.upf
CELL_PARAMETERS angstrom
-3.9697 0.5288 -1.7928
1.0200 -2.9137 -3.1180
-1.5663 -3.2377 2.5132
ATOMIC_POSITIONS crystal
Tc 0.0000 0.5000 0.0000
Tc 0.5000 0.0000 0.0000
Cd 0.5000 0.5000 0.5000
Ni 0.0000 0.0000 0.0000
Tc 0.0000 0.0000 0.5000
! Energy relative to the elements: 1461 meV/atom
! Space group: Pm-3m
! Spin magnetization: 0.2146 μB/atom
! Final energy: -6.77 eV per atom

! CdNiTe, optimized geometry, DFT GGA-PBEsol; values from VASP
&SYSTEM
  ibrav = 0, nat = 3, ntyp = 3
/
ATOMIC_SPECIES
Ni 58.69 Ni.upf
Cd 112.41 Cd.upf
Te 127.60 Te.upf
CELL_PARAMETERS angstrom
3.1198 0.0000 0.0000
0.0000 3.1198 0.0000
-1.5599 -1.5599 6.0874
ATOMIC_POSITIONS crystal
Ni 0.6738 0.6738 0.3476
Cd 0.0332 0.0332 0.0664
Te 0.2930 0.2930 0.5860
! Space group: I4mm
! Spin magnetization: 0.0000 μB/atom
! Final energy: -3.52 eV per atom

! CdNiTe2, optimized geometry, DFT GGA-PBEsol; values from VASP
&SYSTEM
  ibrav = 0, nat = 4, ntyp = 3
/
ATOMIC_SPECIES
Ni 58.69 Ni.upf
Te 127.60 Te.upf
Cd 112.41 Cd.upf
CELL_PARAMETERS angstrom
3.6402 0.0000 0.0000
0.0000 4.5324 0.0000
-1.8201 -2.2662 5.8027
ATOMIC_POSITIONS crystal
Ni 0.0000 0.5000 0.0000
Te 0.3470 0.3470 0.6940
Te 0.6530 0.6530 0.3060
Cd 0.5000 0.0000 0.0000
! Space group: Immm
! Spin magnetization: 0.0000 μB/atom
! Final energy: -3.71 eV per atom

! CdNiTe2, optimized geometry, DFT GGA-PBEsol; values from VASP
&SYSTEM
  ibrav = 0, nat = 4, ntyp = 3
/
ATOMIC_SPECIES
Te 127.60 Te.upf
Ni 58.69 Ni.upf
Cd 112.41 Cd.upf
CELL_PARAMETERS angstrom
3.7306 0.0000 0.0000
0.0000 4.8538 0.0631
0.0000 -1.0596 4.7371
ATOMIC_POSITIONS crystal
Te 0.0000 0.5000 0.0000
Te 0.0000 0.0000 0.5000
Ni 0.5000 0.5000 0.5000
Cd 0.5000 0.0000 0.0000
! Space group: Cmmm
! Spin magnetization: 0.0004 μB/atom
! Final energy: -3.24 eV per atom